VASP calculation (GGA-PBE) on Si2OsPt after structural relaxation.

POSCAR file:
```
Si2OsPt
1.0
-4.1670 1.0880 -0.7134
-1.5385 0.1894 -4.0809
-2.8316 -3.0098 -1.4070
Si Os Pt
2 1 1
Cartesian
0.0000 0.0000 0.0000
-2.1343 -0.4331 -1.5503
-4.2685 -0.8662 -3.1006
-6.4028 -1.2993 -4.6510
```

Summary:
Its uncorrected formation energy is 1.5 eV/f.u. Its space-group type is F-43m, No. 216. Its magnetization is 0.0 μB/f.u. For the uncorrected energy, the calculation gives -26.64 eV for the cell shown. Its volume is 58.8 Å³ per cell.